Compound: PmTm2Pb2
Source: Alexandria
Functional: PBE-GGA
Structure: optimized geometry

Computed properties:
Crystal system ... orthorhombic
Density of states at the Fermi level ... 3.04 states/eV/f.u.
E ... -4.63 eV per atom
ΔE_f ... -2.03 eV/f.u.
Volume ... 30.22 Å³ per atom

Unit cell a=9.7150 b=9.7150 c=6.5839 alpha=90.00 beta=90.00 gamma=150.90
Sites, in units of the cell vectors:
Pm 0.1123 0.8877 0.5000
Pm 0.8877 0.1123 0.0000
Tm 0.3179 0.6821 0.4513
Tm 0.4912 0.5088 0.7401
Tm 0.5088 0.4912 0.2401
Tm 0.6821 0.3179 0.9513
Pb 0.0719 0.9281 0.9888
Pb 0.2898 0.7102 0.9337
Pb 0.7102 0.2898 0.4337
Pb 0.9281 0.0719 0.4888